Record 1
Material: NdTm2MgTl4
Method: DFT, PBE-GGA
State: relaxed

CIF file:
```
data_NdTm2MgTl4
_chemical_formula_sum 'Nd3 Tm6 Mg3 Tl12'
_space_group_name_H-M_alt 'R -3 m'
_space_group_IT_number 166
_space_group_name_Hall '-R 3 2"'
_cell_length_a 5.2640
_cell_length_b 5.2640
_cell_length_c 26.9394
_cell_angle_alpha 90.00
_cell_angle_beta 90.00
_cell_angle_gamma 120.00
loop_
_atom_site_label
_atom_site_fract_x
_atom_site_fract_y
_atom_site_fract_z
Nd1 0.0000 0.0000 0.0000
Tm1 0.0000 0.0000 0.2445
Mg1 0.0000 0.0000 0.5000
Tl1 0.0000 0.0000 0.1263
Tl2 0.0000 0.0000 0.3788
```

---

Record 2
Material: NdMgTlZn
Method: DFT, PBE-GGA
State: relaxed

CIF file:
```
data_NdMgTlZn
_chemical_formula_sum 'Nd4 Mg4 Tl4 Zn4'
_space_group_name_H-M_alt 'F -4 3 m'
_space_group_IT_number 216
_space_group_name_Hall 'F -4 2 3'
_cell_length_a 7.3074
_cell_length_b 7.3074
_cell_length_c 7.3074
_cell_angle_alpha 90.00
_cell_angle_beta 90.00
_cell_angle_gamma 90.00
loop_
_atom_site_label
_atom_site_fract_x
_atom_site_fract_y
_atom_site_fract_z
Nd1 0.0000 0.0000 0.0000
Mg1 0.0000 0.0000 0.5000
Tl1 0.2500 0.2500 0.7500
Zn1 0.2500 0.2500 0.2500
```

---

Record 3
Material: NdTm2Mg6
Method: DFT, PBE-GGA
State: relaxed

CIF file:
```
data_NdTm2Mg6
_chemical_formula_sum 'Nd1 Tm2 Mg6'
_space_group_name_H-M_alt 'P 6/m m m'
_space_group_IT_number 191
_space_group_name_Hall '-P 6 2'
_cell_length_a 9.0847
_cell_length_b 9.0847
_cell_length_c 3.2929
_cell_angle_alpha 90.00
_cell_angle_beta 90.00
_cell_angle_gamma 120.00
loop_
_atom_site_label
_atom_site_fract_x
_atom_site_fract_y
_atom_site_fract_z
Nd1 0.0000 0.0000 0.0000
Tm1 0.3333 0.6667 0.0000
Mg1 0.0000 0.3376 0.5000
```

---

Which ρ belongs to each record? In order, 10.2; 7.5; 4.4 g/cm3.
Which energy of formation from the pure elements belongs to each record? In order, -271; -273; -68 meV/atom.